This record from the Alexandria database describes LiTlRu2O8 after structural relaxation. The functional is GGA-PBE.

Summary:
E_tot ... -6.108 eV per atom
Formation energy without anion corrections ... -900 meV/atom

a b c (Å): 8.6124 8.6124 8.6124
angles (deg): 36.00 36.00 36.00
Positions (direct):
Li: 0.0000 0.0000 0.0000
Tl: 0.5000 0.5000 0.5000
Ru: 0.2598 0.2598 0.2598
Ru: 0.7402 0.7402 0.7402
O: 0.0221 0.7396 0.3947
O: 0.1867 0.1867 0.1867
O: 0.2604 0.6053 0.9779
O: 0.3947 0.0221 0.7396
O: 0.6053 0.9779 0.2604
O: 0.7396 0.3947 0.0221
O: 0.8133 0.8133 0.8133
O: 0.9779 0.2604 0.6053